# YRe2

An optimized crystal structure of YRe2 (PBE, the Alexandria database).

Properties
ΔH_f (0 K): 0.28 eV per atom
calculated total energy: -122.111 eV per cell

Geometry as CIF:
```
data_YRe2
_chemical_formula_sum 'Y4 Re8'
_space_group_name_H-M_alt 'I 41/a m d'
_space_group_IT_number 141
_cell_length_a 4.2024
_cell_length_b 4.2024
_cell_length_c 14.7673
_cell_angle_alpha 90.00
_cell_angle_beta 90.00
_cell_angle_gamma 90.00
loop_
_space_group_symop_operation_xyz
'x,y,z'
'-x,-y,-z'
'-y+1/4,x+3/4,z+1/4'
'y+1/4,-x+3/4,-z+1/4'
'-x+1/2,-y,z+1/2'
'x+1/2,y,-z+1/2'
'y+1/4,-x+1/4,z+3/4'
'-y+1/4,x+1/4,-z+3/4'
'x,-y,-z'
'-x,y,z'
'-y+1/4,-x+1/4,-z+3/4'
'y+1/4,x+1/4,z+3/4'
'-x+1/2,y,-z+1/2'
'x+1/2,-y,z+1/2'
'y+1/4,x+3/4,-z+1/4'
'-y+1/4,-x+3/4,z+1/4'
'x+1/2,y+1/2,z+1/2'
'-x+1/2,-y+1/2,-z+1/2'
'-y+3/4,x+1/4,z+3/4'
'y+3/4,-x+1/4,-z+3/4'
'-x,-y+1/2,z'
'x,y+1/2,-z'
'y+3/4,-x+3/4,z+1/4'
'-y+3/4,x+3/4,-z+1/4'
'x+1/2,-y+1/2,-z+1/2'
'-x+1/2,y+1/2,z+1/2'
'-y+3/4,-x+3/4,-z+1/4'
'y+3/4,x+3/4,z+1/4'
'-x,y+1/2,-z'
'x,-y+1/2,z'
'y+3/4,x+1/4,-z+3/4'
'-y+3/4,-x+1/4,z+3/4'
loop_
_atom_site_label
_atom_site_fract_x
_atom_site_fract_y
_atom_site_fract_z
_atom_site_occupancy
Y1 0.0000 0.2500 0.3750 1
Re1 0.0000 0.2500 0.7915 1
```